Crystalline Pt2WCl at its relaxed geometry, computed with PBE.

Summary:
ρ, Mg/m³: 15.39
Energy relative to the elements, uncorrected, kcal/mol of atoms: 2.1
M_tot, μB/atom: 0.000

POSCAR file:
```
Pt2WCl
1.0
1.4389 0.8307 9.1709
-1.4389 0.8307 9.1709
0.0000 -1.6615 9.1709
Pt W Cl
2 1 1
Direct
0.2455 0.2455 0.2455
0.7545 0.7545 0.7545
0.5000 0.5000 0.5000
0.0000 0.0000 0.0000
```

Crystalline Pt2WCl at its relaxed geometry, computed with PBE.

Summary:
ρ, Mg/m³: 15.58
Energy relative to the elements, uncorrected, kcal/mol of atoms: 16.3
M_tot, μB/atom: 0.001

POSCAR file:
```
Pt2WCl
1.0
-2.0253 2.0253 3.9587
2.0253 -2.0253 3.9587
2.0253 2.0253 -3.9587
Pt W Cl
2 1 1
Direct
0.2500 0.7500 0.5000
0.7500 0.2500 0.5000
0.0000 0.0000 0.0000
0.5000 0.5000 0.0000
```

Crystalline PtW2Cl at its relaxed geometry, computed with PBE.

Summary:
ρ, Mg/m³: 15.91
Energy relative to the elements, uncorrected, kcal/mol of atoms: 15.7
M_tot, μB/atom: 0.000

POSCAR file:
```
PtW2Cl
1.0
4.7125 0.0000 0.0000
0.0000 4.7125 0.0000
0.0000 0.0000 2.8119
Pt W Cl
1 2 1
Direct
0.0000 0.0000 0.0000
0.0000 0.5000 0.5000
0.5000 0.0000 0.5000
0.5000 0.5000 0.0000
```

Crystalline PtW2Cl at its relaxed geometry, computed with PBE.

Summary:
ρ, Mg/m³: 15.17
Energy relative to the elements, uncorrected, kcal/mol of atoms: 23.8
M_tot, μB/atom: 0.000

POSCAR file:
```
PtW2Cl
1.0
-2.0452 2.0452 3.9136
2.0452 -2.0452 3.9136
2.0452 2.0452 -3.9136
Pt W Cl
1 2 1
Direct
0.0000 0.0000 0.0000
0.2500 0.7500 0.5000
0.5000 0.5000 0.0000
0.7500 0.2500 0.5000
```

Crystalline PtW2Cl at its relaxed geometry, computed with PBE.

Summary:
ρ, Mg/m³: 15.67
Energy relative to the elements, uncorrected, kcal/mol of atoms: 10.5
M_tot, μB/atom: 0.000

POSCAR file:
```
PtW2Cl
1.0
4.3342 0.0000 0.0000
0.0000 1.3950 5.2431
0.0000 -1.3950 5.2431
Pt W Cl
1 2 1
Direct
0.0000 0.0000 0.0000
0.0000 0.2568 0.2568
0.5000 0.6029 0.6029
0.5000 0.3655 0.3655
```

Crystalline Pt2WCl at its relaxed geometry, computed with PBE.

Summary:
ρ, Mg/m³: 11.83
Energy relative to the elements, uncorrected, kcal/mol of atoms: 0.5
M_tot, μB/atom: 0.000

POSCAR file:
```
Pt2WCl
1.0
4.4809 -1.4267 0.0000
4.4809 1.4267 0.0000
-0.7377 0.0000 6.6885
Pt W Cl
2 1 1
Direct
0.0000 0.0000 0.0000
0.7378 0.7378 0.1966
0.2634 0.2634 0.8674
0.7011 0.7011 0.5755
```

Crystalline PtW2Cl at its relaxed geometry, computed with PBE.

Summary:
ρ, Mg/m³: 15.05
Energy relative to the elements, uncorrected, kcal/mol of atoms: 24.2
M_tot, μB/atom: 0.160

POSCAR file:
```
PtW2Cl
1.0
0.0000 3.2079 3.2079
3.2079 0.0000 3.2079
3.2079 3.2079 0.0000
Pt W Cl
1 2 1
Direct
0.0000 0.0000 0.0000
0.2500 0.2500 0.2500
0.5000 0.5000 0.5000
0.7500 0.7500 0.7500
```

Crystalline Pt2WCl at its relaxed geometry, computed with PBE.

Summary:
ρ, Mg/m³: 15.05
Energy relative to the elements, uncorrected, kcal/mol of atoms: 0.3
M_tot, μB/atom: 0.000

POSCAR file:
```
Pt2WCl
1.0
2.9295 0.0000 0.0000
0.0000 2.9295 0.0000
0.0000 0.0000 7.8362
Pt W Cl
2 1 1
Direct
0.0000 0.0000 0.2252
0.0000 0.0000 0.7748
0.5000 0.5000 0.0000
0.5000 0.5000 0.5000
```

Crystalline Pt4WCl at its relaxed geometry, computed with PBE.

Summary:
ρ, Mg/m³: 16.10
Energy relative to the elements, uncorrected, kcal/mol of atoms: 14.3
M_tot, μB/atom: 0.000

POSCAR file:
```
Pt4WCl
1.0
0.0000 3.7217 3.7217
3.7217 0.0000 3.7217
3.7217 3.7217 0.0000
Pt W Cl
4 1 1
Direct
0.1249 0.1249 0.1249
0.1249 0.1249 0.6253
0.1249 0.6253 0.1249
0.6253 0.1249 0.1249
0.7500 0.7500 0.7500
0.5000 0.5000 0.5000
```

Crystalline PtW2Cl at its relaxed geometry, computed with PBE.

Summary:
ρ, Mg/m³: 15.82
Energy relative to the elements, uncorrected, kcal/mol of atoms: 8.6
M_tot, μB/atom: 0.000

POSCAR file:
```
PtW2Cl
1.0
1.4384 0.8305 8.7590
-1.4384 0.8305 8.7590
0.0000 -1.6609 8.7590
Pt W Cl
1 2 1
Direct
0.0000 0.0000 0.0000
0.2482 0.2482 0.2482
0.7518 0.7518 0.7518
0.5000 0.5000 0.5000
```

Crystalline PtW2Cl at its relaxed geometry, computed with PBE.

Summary:
ρ, Mg/m³: 14.33
Energy relative to the elements, uncorrected, kcal/mol of atoms: 3.9
M_tot, μB/atom: 0.000

POSCAR file:
```
PtW2Cl
1.0
1.4412 0.8321 9.6381
-1.4412 0.8321 9.6381
0.0000 -1.6641 9.6381
Pt W Cl
1 2 1
Direct
0.0000 0.0000 0.0000
0.4903 0.4903 0.4903
0.7414 0.7414 0.7414
0.2212 0.2212 0.2212
```

Crystalline Pt2WCl at its relaxed geometry, computed with PBE.

Summary:
ρ, Mg/m³: 14.81
Energy relative to the elements, uncorrected, kcal/mol of atoms: -1.8
M_tot, μB/atom: 0.000

POSCAR file:
```
Pt2WCl
1.0
2.8977 0.0000 0.0000
0.0000 2.9222 0.0000
-0.0250 0.0000 8.0677
Pt W Cl
2 1 1
Direct
0.0020 0.0000 0.2223
0.9980 0.0000 0.7777
0.5000 0.5000 0.0000
0.0000 0.5000 0.5000
```